LaZnCd2Au2, optimized geometry, DFT GGA-PBE; total magnetization = 0.001 μB/cell; ΔH_f (0 K) = -125 meV/atom; DOS(E_F) = 4.696 states/eV/f.u.
1.0
-2.721 2.721 5.497
2.721 -2.721 5.497
2.721 2.721 -5.497
La Zn Cd Au
1 1 2 2
Direct
0.000 0.000 0.000
0.500 0.500 0.000
0.250 0.750 0.500
0.750 0.250 0.500
0.274 0.274 0.000
0.726 0.726 0.000